No. 1
Entry from the Open Quantum Materials Database: TaTlCoNi after structural relaxation (PBE).

Calculated values
- Theoretical density: 14.01 g/cm³
- M_tot: 0.068 Bohr magnetons per cell
- E_tot: -6.556 eV/atom
- Space group: F-43m, No. 216

Cell lengths 4.3852, 4.3852, 4.3852 Å; angles 60.00, 60.00, 60.00 degrees
With the nearest neighbours (Å) after each atom.
Element x y z (fractional)
Co  0.7500  0.7500  0.7500  4 Tl 2.69, 4 Ta 2.69
Ni  0.2500  0.2500  0.2500  4 Ta 2.69, 4 Tl 2.69
Ta  0.5000  0.5000  0.5000  4 Ni 2.69, 4 Co 2.69
Tl  0.0000  0.0000  0.0000  4 Co 2.69, 4 Ni 2.69

=====

No. 2
Entry from the Open Quantum Materials Database: TaZnCoNi after structural relaxation (PBE).

Calculated values
- Theoretical density: 11.59 g/cm³
- M_tot: 0.359 Bohr magnetons per cell
- DFT formation energy: -0.215 eV/atom
- Space group: F-43m, No. 216

Cell lengths 4.1935, 4.1935, 4.1935 Å; angles 60.00, 60.00, 60.00 degrees
With the nearest neighbours (Å) after each atom.
Element x y z (fractional)
Co  0.7500  0.7500  0.7500  4 Ta 2.57, 4 Zn 2.57
Ni  0.2500  0.2500  0.2500  4 Zn 2.57, 4 Ta 2.57
Ta  0.5000  0.5000  0.5000  4 Co 2.57, 4 Ni 2.57
Zn  0.0000  0.0000  0.0000  4 Ni 2.57, 4 Co 2.57

=====

No. 3
Entry from the Open Quantum Materials Database: TaZnCoNi after structural relaxation (PBE).

Calculated values
- Theoretical density: 11.43 g/cm³
- M_tot: 1.204 Bohr magnetons per cell
- DFT formation energy: 0.071 eV/atom
- Space group: F-43m, No. 216

Cell lengths 4.2130, 4.2130, 4.2130 Å; angles 60.00, 60.00, 60.00 degrees
With the nearest neighbours (Å) after each atom.
Element x y z (fractional)
Co  0.7500  0.7500  0.7500  4 Ni 2.58, 4 Zn 2.58
Ni  0.5000  0.5000  0.5000  4 Co 2.58, 4 Ta 2.58
Ta  0.2500  0.2500  0.2500  4 Zn 2.58, 4 Ni 2.58
Zn  0.0000  0.0000  0.0000  4 Ta 2.58, 4 Co 2.58

=====

No. 4
Entry from the Open Quantum Materials Database: TaZnCoNi after structural relaxation (PBE).

Calculated values
- Theoretical density: 11.39 g/cm³
- M_tot: 1.321 Bohr magnetons per cell
- DFT formation energy: 0.037 eV/atom
- Space group: F-43m, No. 216

Cell lengths 4.2180, 4.2180, 4.2180 Å; angles 60.00, 60.00, 60.00 degrees
With the nearest neighbours (Å) after each atom.
Element x y z (fractional)
Co  0.5000  0.5000  0.5000  4 Ni 2.58, 4 Ta 2.58
Ni  0.7500  0.7500  0.7500  4 Co 2.58, 4 Zn 2.58
Ta  0.2500  0.2500  0.2500  4 Co 2.58, 4 Zn 2.58
Zn  0.0000  0.0000  0.0000  4 Ni 2.58, 4 Ta 2.58

=====

No. 5
Entry from the Open Quantum Materials Database: CoTc6Ni after structural relaxation (PBE).

Calculated values
- Theoretical density: 10.85 g/cm³
- M_tot: 0.001 Bohr magnetons per cell
- DFT formation energy: -0.085 eV/atom
- Space group: P-6m2, No. 187

Cell lengths 5.3757, 5.3757, 4.3149 Å; angles 90.00, 90.00, 120.00 degrees
With the nearest neighbours (Å) after each atom.
Element x y z (fractional)
Co  0.0000  0.0000  0.5000  12 Tc 2.66-2.69
Ni  0.3333  0.6667  0.0000  12 Tc 2.66-2.69
Tc  0.3355  0.1677  0.0000  8 Tc 2.65-2.71, 2 Co 2.66, 2 Ni 2.69
Tc  0.8323  0.1677  0.0000  8 Tc 2.65-2.71, 2 Co 2.66, 2 Ni 2.69
Tc  0.8323  0.6645  0.0000  8 Tc 2.65-2.71, 2 Co 2.66, 2 Ni 2.69
Tc  0.5004  0.0008  0.5000  8 Tc 2.65-2.69, 2 Ni 2.66, 2 Co 2.69
Tc  0.9992  0.4996  0.5000  8 Tc 2.65-2.69, 2 Ni 2.66, 2 Co 2.69
Tc  0.5004  0.4996  0.5000  8 Tc 2.65-2.69, 2 Ni 2.66, 2 Co 2.69

=====

No. 6
Entry from the Open Quantum Materials Database: Co2TcNi after structural relaxation (PBE).

Calculated values
- Theoretical density: 9.69 g/cm³
- M_tot: 2.703 Bohr magnetons per cell
- DFT formation energy: 0.237 eV/atom
- Space group: F-43m, No. 216

Cell lengths 4.0520, 4.0520, 4.0520 Å; angles 60.00, 60.00, 60.00 degrees
With the nearest neighbours (Å) after each atom.
Element x y z (fractional)
Co  0.5000  0.5000  0.5000  4 Co 2.48, 4 Ni 2.48
Co  0.7500  0.7500  0.7500  4 Co 2.48, 4 Tc 2.48
Ni  0.2500  0.2500  0.2500  4 Tc 2.48, 4 Co 2.48
Tc  0.0000  0.0000  0.0000  4 Ni 2.48, 4 Co 2.48